TlFe2F8 | the Alexandria database | PBE with a Hubbard U | relaxed; symmetry = P-3; crystal system = trigonal; relative energy among the computed polymorphs = 0.012 eV per atom; total energy = -4.755 eV per atom; Fermi-level density of states = 1.5 states/eV/f.u.; total magnetic moment = 9.1 μB per cell
1.0
7.0115 0.0000 0.0000
-3.5058 6.0722 0.0000
0.0000 0.0000 3.9695
Tl Fe F
1 2 8
direct
0.0000 0.0000 0.0000 Tl
0.3333 0.6667 0.2557 Fe
0.6667 0.3333 0.7443 Fe
0.1780 0.8189 0.2589 F
0.1811 0.3591 0.2589 F
0.3333 0.6667 0.7557 F
0.3591 0.1780 0.7411 F
0.6409 0.8220 0.2589 F
0.6667 0.3333 0.2443 F
0.8189 0.6409 0.7411 F
0.8220 0.1811 0.7411 F